Material: Pm2NdTl9
Method: DFT, PBE
State: optimized geometry

abc: 4.8244 4.8244 14.4742
angles: 90.00 90.00 90.00
Closest atoms and distances in Å follow each position.
Element x y z (fractional)
Pm: 0.0000 0.0000 0.1662  12 Tl 3.41
Pm: 0.0000 0.0000 0.8338  12 Tl 3.41
Nd: 0.0000 0.0000 0.5000  12 Tl 3.41-3.42
Tl: 0.0000 0.5000 0.0000  4 Pm 3.41, 8 Tl 3.41
Tl: 0.0000 0.5000 0.3325  8 Tl 3.40-3.42, 2 Pm 3.41, 2 Nd 3.42
Tl: 0.0000 0.5000 0.6675  8 Tl 3.40-3.42, 2 Pm 3.41, 2 Nd 3.42
Tl: 0.5000 0.0000 0.0000  4 Pm 3.41, 8 Tl 3.41
Tl: 0.5000 0.0000 0.3325  8 Tl 3.40-3.42, 2 Pm 3.41, 2 Nd 3.42
Tl: 0.5000 0.0000 0.6675  8 Tl 3.40-3.42, 2 Pm 3.41, 2 Nd 3.42
Tl: 0.5000 0.5000 0.1665  8 Tl 3.40-3.41, 4 Pm 3.41
Tl: 0.5000 0.5000 0.5000  4 Nd 3.41, 8 Tl 3.42
Tl: 0.5000 0.5000 0.8335  8 Tl 3.40-3.41, 4 Pm 3.41

Output
The value obtained for the total energy is -3.275 eV/atom. The value obtained for the spin magnetization is 0.000 μB/atom. Its space group is P4/mmm (123). Its energy of formation from the pure elements is -0.3112 eV/atom.